Entry 1:
Here is an optimized crystal structure of Rb2CuI6F from Alexandria. Energies are from PBE-GGA.

Unit cell a=8.017 b=8.017 c=8.017 alpha=122.34 beta=122.34 gamma=85.99
Atoms (fractional coordinates):
Rb (0.250, 0.750, 0.500)
Rb (0.750, 0.250, 0.500)
Cu (0.000, 0.000, 0.000)
I (0.227, 0.227, 0.000)
I (0.249, 0.249, 0.499)
I (0.249, 0.751, 0.000)
I (0.751, 0.249, 0.000)
I (0.751, 0.751, 0.501)
I (0.773, 0.773, 0.000)
F (0.500, 0.500, 0.000)

Output
Its density is 4.8 Mg/m³. The calculation puts the total magnetization at 0.000 μB per atom. The space-group type is I4/mmm (139). Its density of states at the Fermi level is 0.56 states/eV per atom.

Entry 2:
Here is an optimized crystal structure of Rb2CuIF6 from Alexandria. Energies are from PBE-GGA.

Unit cell a=6.540 b=6.540 c=6.540 alpha=118.42 beta=118.42 gamma=92.76
Atoms (fractional coordinates):
Rb (0.250, 0.750, 0.500)
Rb (0.750, 0.250, 0.500)
Cu (0.000, 0.000, 0.000)
I (0.500, 0.500, 0.000)
F (0.195, 0.195, 0.389)
F (0.195, 0.805, 0.000)
F (0.268, 0.268, 0.000)
F (0.732, 0.732, 0.000)
F (0.805, 0.195, 0.000)
F (0.805, 0.805, 0.611)

Output
Its density is 3.9 Mg/m³. The calculation puts the total magnetization at 0.000 μB per atom. The space-group type is I4/mmm (139). Its density of states at the Fermi level is 0.00 states/eV per atom.

| no. | raw formation energy (eV/atom) | energy (eV per cell) |
| --- | --- | --- |
| 1 | -0.659 | -23.8 |
| 2 | -1.905 | -37.9 |